[1]
BeSi2Ag: optimized geometry, PBE.

Computed properties:
Total magnetization: 0.000 μB per formula unit
E_form (uncorrected): 399 meV/atom
DOS at the Fermi energy: 0.142 states/eV/atom

Unit cell a=2.693 b=2.693 c=7.891 alpha=90.00 beta=90.00 gamma=90.00
Space group P4/mmm (No. 123)
Symmetry-distinct sites (fractional):
1 Be 0.000 0.000 0.000 x1
2 Si 0.500 0.500 0.201 x2
3 Ag 0.000 0.000 0.500 x1



[2]
BeSi2Ag: optimized geometry, PBE.

Computed properties:
Total magnetization: 0.000 μB per formula unit
E_form (uncorrected): 363 meV/atom
DOS at the Fermi energy: 0.155 states/eV/atom

Unit cell a=2.730 b=2.730 c=7.457 alpha=90.00 beta=90.00 gamma=90.00
Space group P4mm (No. 99)
Symmetry-distinct sites (fractional):
1 Be 0.000 0.000 0.000 x1
2 Si 0.000 0.000 0.474 x1
3 Si 0.500 0.500 0.202 x1
4 Ag 0.500 0.500 0.767 x1



[3]
BeSi2Ag: optimized geometry, PBE.

Computed properties:
Total magnetization: 0.000 μB per formula unit
E_form (uncorrected): 554 meV/atom
DOS at the Fermi energy: 0.642 states/eV/atom

Unit cell a=3.904 b=3.904 c=3.839 alpha=90.00 beta=90.00 gamma=90.00
Space group P4/mmm (No. 123)
Symmetry-distinct sites (fractional):
1 Be 0.000 0.000 0.000 x1
2 Si 0.000 0.500 0.500 x2
3 Ag 0.500 0.500 0.000 x1